## Dy3Mg3Zn2Ir (PBE)

Data for a relaxed structure of Dy3Mg3Zn2Ir.

Properties
SG = No. 189
E_tot = -3.69 eV per atom
Volume = 22.245 Å³ per atom

The structure in CIF format:
```
data_Dy3Mg3Zn2Ir
_chemical_formula_sum 'Dy3 Mg3 Zn2 Ir1'
_cell_length_a 7.312
_cell_length_b 7.312
_cell_length_c 4.323
_cell_angle_alpha 90.00
_cell_angle_beta 90.00
_cell_angle_gamma 120.00
_space_group_name_H-M_alt 'P 1'
_space_group_IT_number 1
loop_
_space_group_symop_operation_xyz
'x,y,z'
loop_
_atom_site_label
_atom_site_type_symbol
_atom_site_fract_x
_atom_site_fract_y
_atom_site_fract_z
Dy1 Dy 0.398 0.000 0.000
Dy2 Dy 0.000 0.398 0.000
Dy3 Dy 0.602 0.602 0.000
Ir1 Ir 0.000 0.000 0.000
Mg1 Mg 0.763 0.000 0.500
Mg2 Mg 0.237 0.237 0.500
Mg3 Mg 0.000 0.763 0.500
Zn1 Zn 0.667 0.333 0.500
Zn2 Zn 0.333 0.667 0.500
```